# TaAsRh2 (PBE-GGA, optimized geometry)
# Energy of formation ... -0.318 eV/atom
# Magnetic moment ... 0.00 μB per cell
# Calculated density ... 12.4 Mg/m³
# Energy ... -8.120 eV/atom
data_TaAsRh2
_chemical_formula_sum 'Ta2 As2 Rh4'
_space_group_name_H-M_alt 'C 1 2/m 1'
_space_group_IT_number 12
_cell_length_a 9.037
_cell_length_b 2.912
_cell_length_c 4.748
_cell_angle_alpha 90.00
_cell_angle_beta 97.90
_cell_angle_gamma 90.00
loop_
_space_group_symop_operation_xyz
'x,y,z'
'-x,-y,-z'
'-x,y,-z'
'x,-y,z'
'x+1/2,y+1/2,z'
'-x+1/2,-y+1/2,-z'
'-x+1/2,y+1/2,-z'
'x+1/2,-y+1/2,z'
loop_
_atom_site_label
_atom_site_fract_x
_atom_site_fract_y
_atom_site_fract_z
_atom_site_occupancy
Ta1 0.000 0.000 0.000 1
As1 0.000 0.500 0.500 1
Rh1 0.246 0.500 0.245 1